Computed, not measured: crystalline ZrIn2Ag at its relaxed geometry at the GGA-PBE level of DFT.

abc: 5.1435 5.1435 5.9390
angles: 101.41 101.41 35.02
Last column: nearest neighbours and their distance in Å.
Fractional positions:
Zr  0.0000  0.0000  0.0000  2 Zr 3.09, 6 In 3.10, 4 Ag 3.35
In  0.2419  0.2419  0.7377  3 Ag 2.94-3.14, 4 In 3.09-3.25, 3 Zr 3.10
In  0.7581  0.7581  0.2623  3 Ag 2.94-3.14, 4 In 3.09-3.25, 3 Zr 3.10
Ag  0.5000  0.5000  0.5000  6 In 2.94-3.14, 2 Ag 3.09

total DFT energy (no corrections): -4.24 eV per atom
crystal system: monoclinic

Computed, not measured: crystalline Zr6InAg at its relaxed geometry at the GGA-PBE level of DFT.

abc: 5.6015 5.6015 5.6015
angles: 90.04 90.04 90.04
Last column: nearest neighbours and their distance in Å.
Fractional positions:
Zr  0.0005  0.4995  0.7477  2 Zr 2.78-2.83
Zr  0.2523  0.9995  0.5005  2 Zr 2.78-2.83
Zr  0.5005  0.2523  0.9995  2 Zr 2.78-2.83
Zr  0.4995  0.7477  0.0005  2 Zr 2.78-2.83
Zr  0.7477  0.0005  0.4995  2 Zr 2.78-2.83
Zr  0.9995  0.5005  0.2523  2 Zr 2.78-2.83
In  0.0000  0.0000  0.0000  12 Zr 3.14
Ag  0.5000  0.5000  0.5000  12 Zr 3.12-3.13

total DFT energy (no corrections): -7.24 eV per atom
crystal system: trigonal

Computed, not measured: crystalline ZrIn2Ag at its relaxed geometry at the GGA-PBE level of DFT.

abc: 3.2572 4.3634 6.2140
angles: 90.00 90.00 90.00
Last column: nearest neighbours and their distance in Å.
Fractional positions:
Zr  0.0000  0.0000  0.0000  6 In 3.05-3.16, 4 Ag 3.15, 2 Zr 3.26
In  0.0000  0.0000  0.4915  2 Zr 3.05-3.16, 4 Ag 3.09, 6 In 3.24-3.26
In  0.5000  0.5000  0.7732  2 Ag 2.99-3.22, 4 Zr 3.07, 6 In 3.24-3.26
Ag  0.5000  0.5000  0.2552  6 In 2.99-3.22, 4 Zr 3.15, 2 Ag 3.26

total DFT energy (no corrections): -4.27 eV per atom
crystal system: orthorhombic

Computed, not measured: crystalline Zr12In3Ag at its relaxed geometry at the GGA-PBE level of DFT.

abc: 4.4608 4.4608 17.8070
angles: 90.00 90.00 90.00
Last column: nearest neighbours and their distance in Å.
Fractional positions:
Zr  0.0000  0.0000  0.0000  8 Zr 3.12, 4 Ag 3.15
Zr  0.0000  0.0000  0.2478  8 Zr 3.15-3.17, 4 In 3.15
Zr  0.0000  0.0000  0.5000  4 In 3.15, 8 Zr 3.16
Zr  0.0000  0.0000  0.7522  8 Zr 3.15-3.17, 4 In 3.15
Zr  0.0000  0.5000  0.1227  8 Zr 3.12-3.15, 2 Ag 3.12, 2 In 3.15
Zr  0.0000  0.5000  0.3744  8 Zr 3.15-3.17, 4 In 3.16-3.17
Zr  0.0000  0.5000  0.6256  8 Zr 3.15-3.17, 4 In 3.16-3.17
Zr  0.0000  0.5000  0.8773  8 Zr 3.12-3.15, 2 Ag 3.12, 2 In 3.15
Zr  0.5000  0.0000  0.1227  8 Zr 3.12-3.15, 2 Ag 3.12, 2 In 3.15
Zr  0.5000  0.0000  0.3744  8 Zr 3.15-3.17, 4 In 3.16-3.17
Zr  0.5000  0.0000  0.6256  8 Zr 3.15-3.17, 4 In 3.16-3.17
Zr  0.5000  0.0000  0.8773  8 Zr 3.12-3.15, 2 Ag 3.12, 2 In 3.15
In  0.5000  0.5000  0.2478  12 Zr 3.15-3.17
In  0.5000  0.5000  0.5000  12 Zr 3.15-3.16
In  0.5000  0.5000  0.7522  12 Zr 3.15-3.17
Ag  0.5000  0.5000  0.0000  12 Zr 3.12-3.15

total DFT energy (no corrections): -7.28 eV per atom
crystal system: tetragonal

Computed, not measured: crystalline Zr2In3Ag3 at its relaxed geometry at the GGA-PBE level of DFT.

abc: 4.4907 4.5346 8.1866
angles: 90.00 90.00 90.00
Last column: nearest neighbours and their distance in Å.
Fractional positions:
Zr  0.0000  0.0000  0.2497  6 In 3.04-3.05, 6 Ag 3.06-3.19
Zr  0.0000  0.0000  0.7503  6 In 3.04-3.05, 6 Ag 3.06-3.19
In  0.0000  0.5000  0.0000  4 Zr 3.05, 4 Ag 3.09, 4 In 3.19
In  0.5000  0.0000  0.0000  4 Zr 3.04, 4 Ag 3.10, 4 In 3.19
In  0.5000  0.0000  0.5000  8 Ag 3.01-3.19, 4 Zr 3.04
Ag  0.0000  0.5000  0.5000  4 Ag 2.99, 4 Zr 3.06, 4 In 3.19
Ag  0.5000  0.5000  0.2589  2 Ag 2.99, 6 In 3.01-3.10, 4 Zr 3.19
Ag  0.5000  0.5000  0.7411  2 Ag 2.99, 6 In 3.01-3.10, 4 Zr 3.19

total DFT energy (no corrections): -4.38 eV per atom
crystal system: orthorhombic

Computed, not measured: crystalline Zr2InAg at its relaxed geometry at the GGA-PBE level of DFT.

abc: 3.2490 4.3461 5.9914
angles: 90.00 90.00 90.00
Last column: nearest neighbours and their distance in Å.
Fractional positions:
Zr  0.0000  0.0000  0.2467  4 Zr 2.96-3.25, 4 Ag 3.09, 4 In 3.11
Zr  0.0000  0.0000  0.7533  4 Zr 2.96-3.25, 4 Ag 3.09, 4 In 3.11
In  0.5000  0.5000  0.5000  2 Ag 3.00, 8 Zr 3.11, 2 In 3.25
Ag  0.5000  0.5000  0.0000  2 In 3.00, 8 Zr 3.09, 2 Ag 3.25

total DFT energy (no corrections): -5.84 eV per atom
crystal system: orthorhombic

Computed, not measured: crystalline Zr2InAg at its relaxed geometry at the GGA-PBE level of DFT.

abc: 5.3375 5.3375 5.3375
angles: 131.09 131.09 71.67
Last column: nearest neighbours and their distance in Å.
Fractional positions:
Zr  0.2500  0.7500  0.5000  4 In 3.09, 4 Ag 3.09, 4 Zr 3.12
Zr  0.7500  0.2500  0.5000  4 In 3.09, 4 Ag 3.09, 4 Zr 3.12
In  0.0000  0.0000  0.0000  8 Zr 3.09, 4 Ag 3.12
Ag  0.5000  0.5000  0.0000  8 Zr 3.09, 4 In 3.12

total DFT energy (no corrections): -5.85 eV per atom
crystal system: tetragonal

Computed, not measured: crystalline Zr2InAg2 at its relaxed geometry at the GGA-PBE level of DFT.

abc: 7.5836 7.5836 3.0092
angles: 90.00 90.00 143.93
Last column: nearest neighbours and their distance in Å.
Fractional positions:
Zr  0.1135  0.8865  0.0000  3 Zr 3.01-3.27, 6 Ag 3.05-3.09, 4 In 3.23
Zr  0.8865  0.1135  0.0000  3 Zr 3.01-3.27, 6 Ag 3.05-3.09, 4 In 3.23
In  0.5000  0.5000  0.5000  2 Ag 2.88, 2 In 3.01
Ag  0.3004  0.6996  0.5000  4 Ag 2.76-3.01, 1 In 2.88, 6 Zr 3.05-3.09
Ag  0.6996  0.3004  0.5000  4 Ag 2.76-3.01, 1 In 2.88, 6 Zr 3.05-3.09

total DFT energy (no corrections): -5.25 eV per atom
crystal system: orthorhombic

Computed, not measured: crystalline ZrIn2Ag at its relaxed geometry at the GGA-PBE level of DFT.

abc: 3.1306 4.8509 5.8505
angles: 90.00 90.03 90.00
Last column: nearest neighbours and their distance in Å.
Fractional positions:
Zr  0.0000  0.0000  0.0000  2 Zr 3.13, 8 In 3.17-3.40, 4 Ag 3.22-3.23
In  0.4974  0.0000  0.4854  2 Ag 2.80, 4 In 2.96-3.13
In  0.5001  0.5000  0.7748  1 Ag 2.76, 2 In 2.96
Ag  0.5031  0.5000  0.2464  3 In 2.76-2.80

total DFT energy (no corrections): -4.30 eV per atom
crystal system: monoclinic

Computed, not measured: crystalline ZrIn2Ag at its relaxed geometry at the GGA-PBE level of DFT.

abc: 3.3141 3.3141 8.1424
angles: 90.00 90.00 91.99
Last column: nearest neighbours and their distance in Å.
Fractional positions:
Zr  0.0000  0.0000  0.0000  4 Ag 2.99-3.05, 4 In 3.08-3.14, 4 Zr 3.31
In  0.0000  0.0000  0.5369  4 Ag 2.96-3.03, 6 In 3.27-3.31
In  0.5000  0.5000  0.2517  4 Zr 3.08-3.14, 8 In 3.27-3.33
Ag  0.5000  0.5000  0.7661  4 In 2.96-3.03, 4 Zr 2.99-3.05, 4 Ag 3.31

total DFT energy (no corrections): -4.26 eV per atom
crystal system: orthorhombic

Computed, not measured: crystalline Zr3InAg3 at its relaxed geometry at the GGA-PBE level of DFT.

abc: 8.2714 8.2714 4.9244
angles: 90.00 90.00 120.00
Last column: nearest neighbours and their distance in Å.
Fractional positions:
Zr  0.0987  0.6381  0.2500  4 Ag 2.93-3.08, 3 In 3.07-3.18, 4 Zr 3.18-3.20
Zr  0.3619  0.4606  0.2500  4 Ag 2.93-3.08, 3 In 3.07-3.18, 4 Zr 3.18-3.20
Zr  0.4606  0.0987  0.7500  4 Ag 2.93-3.08, 3 In 3.07-3.18, 4 Zr 3.18-3.20
Zr  0.5394  0.9013  0.2500  4 Ag 2.93-3.08, 3 In 3.07-3.18, 4 Zr 3.18-3.20
Zr  0.6381  0.5394  0.7500  4 Ag 2.93-3.08, 3 In 3.07-3.18, 4 Zr 3.18-3.20
Zr  0.9013  0.3619  0.7500  4 Ag 2.93-3.08, 3 In 3.07-3.18, 4 Zr 3.18-3.20
In  0.3333  0.6667  0.7500  9 Zr 3.07-3.18, 3 Ag 3.19
In  0.6667  0.3333  0.2500  9 Zr 3.07-3.18, 3 Ag 3.19
Ag  0.0396  0.8101  0.7500  4 Zr 2.93-3.08, 6 Ag 3.03-3.04, 1 In 3.19
Ag  0.1899  0.2295  0.7500  4 Zr 2.93-3.08, 6 Ag 3.03-3.04, 1 In 3.19
Ag  0.2295  0.0396  0.2500  4 Zr 2.93-3.08, 6 Ag 3.03-3.04, 1 In 3.19
Ag  0.7705  0.9604  0.7500  4 Zr 2.93-3.08, 6 Ag 3.03-3.04, 1 In 3.19
Ag  0.8101  0.7705  0.2500  4 Zr 2.93-3.08, 6 Ag 3.03-3.04, 1 In 3.19
Ag  0.9604  0.1899  0.2500  4 Zr 2.93-3.08, 6 Ag 3.03-3.04, 1 In 3.19

total DFT energy (no corrections): -5.31 eV per atom
crystal system: hexagonal

Computed, not measured: crystalline ZrIn2Ag at its relaxed geometry at the GGA-PBE level of DFT.

abc: 5.6048 5.6048 5.6048
angles: 134.98 134.98 65.56
Last column: nearest neighbours and their distance in Å.
Fractional positions:
Zr  0.0000  0.0000  0.0000  8 In 3.03-3.19, 4 Ag 3.19
In  0.5000  0.5000  0.0000  4 Zr 3.03, 4 In 3.19, 4 Ag 3.19
In  0.7500  0.2500  0.5000  4 Ag 3.03, 4 Zr 3.19, 4 In 3.19
Ag  0.2500  0.7500  0.5000  8 In 3.03-3.19, 4 Zr 3.19

total DFT energy (no corrections): -4.31 eV per atom
crystal system: tetragonal

Computed, not measured: crystalline ZrInAg4 at its relaxed geometry at the GGA-PBE level of DFT.

abc: 5.5121 5.5121 5.5121
angles: 60.00 60.00 60.00
Last column: nearest neighbours and their distance in Å.
Fractional positions:
Zr  0.0000  0.0000  0.0000  12 Ag 3.23, 4 In 3.38
In  0.2500  0.2500  0.2500  12 Ag 3.23, 4 Zr 3.38
Ag  0.1239  0.6254  0.6254  6 Ag 2.75-2.76
Ag  0.6254  0.1239  0.6254  6 Ag 2.75-2.76
Ag  0.6254  0.6254  0.1239  6 Ag 2.75-2.76
Ag  0.6254  0.6254  0.6254  6 Ag 2.75-2.76

total DFT energy (no corrections): -3.71 eV per atom
crystal system: cubic